1.
LiYNp2S5: optimized geometry, PBE.

a = 8.3688 Å, b = 8.3688 Å, c = 11.7005 Å
α = 90.00°, β = 90.00°, γ = 153.19°
Fractional positions:
1 Li 0.0179 0.9821 0.5000
2 Li 0.9821 0.0179 0.0000
3 Y 0.3009 0.6991 0.0241
4 Y 0.6991 0.3009 0.5241
5 Np 0.3766 0.6234 0.3216
6 Np 0.3920 0.6080 0.7028
7 Np 0.6080 0.3920 0.2028
8 Np 0.6234 0.3766 0.8216
9 S 0.9995 0.0005 0.3017
10 S 0.0005 0.9995 0.8017
11 S 0.1344 0.8656 0.0207
12 S 0.1889 0.8111 0.3628
13 S 0.2129 0.7871 0.6888
14 S 0.4534 0.5466 0.0964
15 S 0.5466 0.4534 0.5964
16 S 0.7871 0.2129 0.1888
17 S 0.8111 0.1889 0.8628
18 S 0.8656 0.1344 0.5207

Computed properties:
VASP energy: -7.61 eV per atom


2.
KSnPb11: optimized geometry, PBE.

a = 8.8044 Å, b = 8.8044 Å, c = 8.7934 Å
α = 97.93°, β = 97.93°, γ = 136.29°
Fractional positions:
1 K 0.0000 0.0000 0.0000
2 Sn 0.5000 0.5000 0.5000
3 Pb 0.0000 0.0000 0.5000
4 Pb 0.0000 0.5000 0.0000
5 Pb 0.0043 0.3560 0.3558
6 Pb 0.2893 0.5046 0.7813
7 Pb 0.3560 0.0043 0.3558
8 Pb 0.4954 0.7107 0.2187
9 Pb 0.5000 0.0000 0.0000
10 Pb 0.5046 0.2893 0.7813
11 Pb 0.6440 0.9957 0.6442
12 Pb 0.7107 0.4954 0.2187
13 Pb 0.9957 0.6440 0.6442

Computed properties:
ΔE_f: -0.02 eV/atom


3.
NdDy4Bi5: optimized geometry, PBE.

a = 11.9102 Å, b = 11.9102 Å, c = 11.9102 Å
α = 158.20°, β = 148.98°, γ = 38.23°
Fractional positions:
1 Nd 0.0000 0.0000 0.0000
2 Dy 0.2017 0.2017 0.0000
3 Dy 0.3999 0.3999 0.0000
4 Dy 0.6001 0.6001 0.0000
5 Dy 0.7983 0.7983 0.0000
6 Bi 0.1033 0.6033 0.5000
7 Bi 0.3007 0.8007 0.5000
8 Bi 0.5000 0.0000 0.5000
9 Bi 0.6993 0.1993 0.5000
10 Bi 0.8967 0.3967 0.5000

Computed properties:
ΔE_f: -0.87 eV/atom